1.
{
  "formula": "ZrVZn2",
  "functional": "GGA-PBE",
  "state": "optimized geometry",
  "delta_e_f_ev_per_atom": -0.03,
  "lattice": [[-0.4275, -2.7350, 1.7105], [1.9671, -1.5886, -2.0483], [4.8643, 1.4553, 3.5427]],
  "species": ["V", "Zn", "Zn", "Zr"],
  "fractional_positions": [[0.5000, 0.5000, 0.0000], [0.0000, 0.0000, 0.7845], [0.0000, 0.0000, 0.2155], [0.5000, 0.5000, 0.5000]]
}

=====

2.
{
  "formula": "EuYErTl",
  "functional": "GGA-PBE",
  "state": "optimized geometry",
  "delta_e_f_ev_per_atom": -0.02,
  "lattice": [[5.5153, 0.0000, 0.0000], [2.7577, 4.7764, 0.0000], [2.7577, 1.5921, 4.5033]],
  "species": ["Y", "Tl", "Er", "Eu"],
  "fractional_positions": [[0.7500, 0.7500, 0.7500], [0.0000, 0.0000, 0.0000], [0.2500, 0.2500, 0.2500], [0.5000, 0.5000, 0.5000]]
}

=====

3.
{
  "formula": "HfRu2RhAu",
  "functional": "GGA-PBE",
  "state": "optimized geometry",
  "delta_e_f_ev_per_atom": 1.56,
  "lattice": [[-1.1142, -3.7824, 2.5339], [0.0547, -2.8200, -4.1853], [4.5525, -0.8965, 0.6636]],
  "species": ["Ru", "Ru", "Au", "Hf", "Rh"],
  "fractional_positions": [[0.0000, 0.0000, 0.5000], [0.5000, 0.0000, 0.0000], [0.0000, 0.5000, 0.0000], [0.0000, 0.0000, 0.0000], [0.5000, 0.5000, 0.5000]]
}

=====

4.
{
  "formula": "NdTh2PdN4",
  "functional": "GGA-PBE",
  "state": "optimized geometry",
  "lattice": [[3.5688, 0.0000, 0.0000], [-1.7844, 6.0300, 0.0000], [0.0000, 0.0000, 12.1773]],
  "species": ["N", "N", "N", "N", "N", "N", "N", "N", "Th", "Th", "Th", "Th", "Pd", "Pd", "Nd", "Nd"],
  "fractional_positions": [[0.5371, 0.0743, 0.2500], [0.0000, 0.0000, 0.5000], [0.0000, 0.0000, 0.0000], [0.2718, 0.5437, 0.3874], [0.2718, 0.5437, 0.1126], [0.4629, 0.9257, 0.7500], [0.7282, 0.4563, 0.6126], [0.7282, 0.4563, 0.8874], [0.3706, 0.7411, 0.5570], [0.6294, 0.2589, 0.0570], [0.6294, 0.2589, 0.4430], [0.3706, 0.7411, 0.9430], [0.8531, 0.7062, 0.7500], [0.1469, 0.2938, 0.2500], [0.1140, 0.2279, 0.7500], [0.8860, 0.7721, 0.2500]]
}

=====

5.
{
  "formula": "LaZrTi2Sn",
  "functional": "GGA-PBE",
  "state": "optimized geometry",
  "delta_e_f_ev_per_atom": 0.92,
  "lattice": [[-1.5492, -4.8140, 0.2855], [0.7268, -0.5760, -5.7681], [4.7811, -1.4941, 0.7517]],
  "species": ["Ti", "Ti", "Sn", "La", "Zr"],
  "fractional_positions": [[0.0000, 0.0000, 0.5000], [0.5000, 0.0000, 0.0000], [0.0000, 0.0000, 0.0000], [0.0000, 0.5000, 0.0000], [0.5000, 0.5000, 0.5000]]
}

=====

6.
{
  "formula": "NaY2S2",
  "functional": "GGA-PBE",
  "state": "optimized geometry",
  "lattice": [[7.5682, 0.0000, 0.0000], [0.0000, 7.5682, 0.0000], [0.0000, 0.0000, 3.6918]],
  "species": ["Y", "Y", "Y", "Y", "S", "S", "S", "S", "Na", "Na"],
  "fractional_positions": [[0.6546, 0.8454, 0.5000], [0.1546, 0.6546, 0.5000], [0.8454, 0.3454, 0.5000], [0.3454, 0.1546, 0.5000], [0.3546, 0.8546, 0.0000], [0.8546, 0.6454, 0.0000], [0.1454, 0.3546, 0.0000], [0.6454, 0.1454, 0.0000], [0.5000, 0.5000, 0.0000], [0.0000, 0.0000, 0.0000]]
}

=====

7.
{
  "formula": "Dy3Ho2Mg8",
  "functional": "GGA-PBE",
  "state": "optimized geometry",
  "delta_e_f_ev_per_atom": 0.13,
  "lattice": [[-2.7249, 4.8208, -1.8154], [-0.9880, 0.8235, -5.6838], [-12.0888, -3.8547, -1.4446]],
  "species": ["Mg", "Mg", "Mg", "Mg", "Mg", "Mg", "Mg", "Mg", "Dy", "Dy", "Dy", "Ho", "Ho"],
  "fractional_positions": [[0.7306, 0.7306, 0.3090], [0.7306, 0.2297, 0.3090], [0.7251, 0.7251, 0.8248], [0.2694, 0.2694, 0.6910], [0.2297, 0.7306, 0.3090], [0.2694, 0.7703, 0.6910], [0.7703, 0.2694, 0.6910], [0.2749, 0.2749, 0.1752], [0.1833, 0.1833, 0.4500], [0.0000, 0.0000, 0.0000], [0.8167, 0.8167, 0.5500], [0.3599, 0.3599, 0.9204], [0.6401, 0.6401, 0.0796]]
}

=====

8.
{
  "formula": "TmNpIn2",
  "functional": "GGA-PBE",
  "state": "optimized geometry",
  "delta_e_f_ev_per_atom": -0.03,
  "lattice": [[4.3723, 0.0000, 0.0000], [0.0000, 4.8863, 0.0000], [0.0000, 0.0000, 4.8863]],
  "species": ["Np", "In", "In", "Tm"],
  "fractional_positions": [[0.5000, 0.0000, 0.0000], [0.0000, 0.5000, 0.0000], [0.0000, 0.0000, 0.5000], [0.5000, 0.5000, 0.5000]]
}

=====

9.
{
  "formula": "LiAlCd",
  "functional": "GGA-PBE",
  "state": "optimized geometry",
  "delta_e_f_ev_per_atom": -0.03,
  "lattice": [[-2.8819, 0.7852, 0.4977], [0.7952, -2.9219, 0.0019], [1.2983, 0.3579, 6.9529]],
  "species": ["Al", "Cd", "Li"],
  "fractional_positions": [[0.0000, 0.0000, 0.9888], [0.6667, 0.3333, 0.3349], [0.3333, 0.6667, 0.6763]]
}

=====

10.
{
  "formula": "CuGe3",
  "functional": "GGA-PBE",
  "state": "optimized geometry",
  "delta_e_f_ev_per_atom": 0.31,
  "lattice": [[-2.0458, -3.5261, -2.7765], [3.3651, -1.1538, -3.4165], [0.4635, 0.2656, 4.9033]],
  "species": ["Cu", "Ge", "Ge", "Ge"],
  "fractional_positions": [[0.0000, 0.0000, 0.0000], [0.5000, 0.5000, 0.0000], [0.7500, 0.2500, 0.5000], [0.2500, 0.7500, 0.5000]]
}

=====

11.
{
  "formula": "Tb3DyTm",
  "functional": "GGA-PBE",
  "state": "optimized geometry",
  "delta_e_f_ev_per_atom": 0.01,
  "lattice": [[-5.5554, 0.7870, 7.7289], [-3.6352, -4.7602, -2.9685], [5.8032, -1.4553, 1.7905]],
  "species": ["Tb", "Tb", "Tb", "Tb", "Tb", "Tb", "Tm", "Tm", "Dy", "Dy"],
  "fractional_positions": [[0.5506, 0.4517, 0.3174], [0.7497, 0.4493, 0.9159], [0.9503, 0.4517, 0.5186], [0.0496, 0.9480, 0.4814], [0.4495, 0.9486, 0.6828], [0.2503, 0.9507, 0.0840], [0.8512, 0.9520, 0.8860], [0.1490, 0.4481, 0.1141], [0.6513, 0.9506, 0.2846], [0.3486, 0.4493, 0.7152]]
}

=====

12.
{
  "formula": "Li2SiTe4Au",
  "functional": "GGA-PBE",
  "state": "optimized geometry",
  "lattice": [[7.4633, 0.0000, 0.0000], [0.0000, 7.8300, 0.0000], [0.0000, 0.0000, 8.2332]],
  "species": ["Li", "Li", "Li", "Li", "Te", "Te", "Te", "Te", "Te", "Te", "Te", "Te", "Au", "Au", "Si", "Si"],
  "fractional_positions": [[0.5188, 0.3195, 0.2583], [0.0188, 0.6805, 0.2417], [0.0188, 0.6805, 0.7583], [0.5188, 0.3195, 0.7417], [0.8417, 0.8336, 0.5000], [0.3864, 0.6535, 0.7380], [0.8592, 0.8740, 0.0000], [0.3417, 0.1664, 0.0000], [0.3592, 0.1260, 0.5000], [0.8864, 0.3465, 0.2380], [0.3864, 0.6535, 0.2620], [0.8864, 0.3465, 0.7620], [0.9886, 0.1525, 0.5000], [0.4886, 0.8475, 0.0000], [0.5000, 0.8312, 0.5000], [0.0000, 0.1688, 0.0000]]
}

=====

13.
{
  "formula": "Y3HfTl3S8",
  "functional": "GGA-PBE",
  "state": "optimized geometry",
  "lattice": [[7.8941, 0.0000, 0.0000], [-3.9471, 6.8360, -0.0297], [0.0000, -4.5291, 7.6245]],
  "species": ["S", "S", "S", "S", "S", "S", "S", "S", "Y", "Y", "Y", "Tl", "Tl", "Tl", "Hf"],
  "fractional_positions": [[0.2499, 0.0296, 0.3095], [0.7797, 0.0296, 0.3095], [0.7328, 0.4657, 0.6983], [0.2672, 0.5343, 0.3017], [0.2203, 0.9704, 0.6905], [0.7796, 0.5593, 0.3095], [0.2204, 0.4407, 0.6905], [0.7501, 0.9704, 0.6905], [0.0000, 0.5000, 0.5000], [0.5000, 0.0000, 0.5000], [0.5000, 0.5000, 0.5000], [0.5000, 0.5000, 0.0000], [0.0000, 0.5000, 0.0000], [0.0000, 0.0000, 0.0000], [0.0000, 0.0000, 0.5000]]
}

=====

14.
{
  "formula": "TaNbCd2",
  "functional": "GGA-PBE",
  "state": "optimized geometry",
  "delta_e_f_ev_per_atom": 0.56,
  "lattice": [[0.0000, 3.3739, 3.3739], [3.3739, 0.0000, 3.3739], [3.3739, 3.3739, 0.0000]],
  "species": ["Nb", "Cd", "Cd", "Ta"],
  "fractional_positions": [[0.0000, 0.0000, 0.0000], [0.2500, 0.2500, 0.2500], [0.7500, 0.7500, 0.7500], [0.5000, 0.5000, 0.5000]]
}

=====

15.
{
  "formula": "MgB3Br",
  "functional": "GGA-PBE",
  "state": "optimized geometry",
  "lattice": [[4.5749, 0.0000, 0.0000], [0.0000, 4.5749, 0.0000], [0.0000, 0.0000, 4.5749]],
  "species": ["B", "B", "B", "Br", "Mg"],
  "fractional_positions": [[0.0000, 0.5000, 0.0000], [0.0000, 0.0000, 0.5000], [0.5000, 0.0000, 0.0000], [0.5000, 0.5000, 0.5000], [0.0000, 0.0000, 0.0000]]
}

=====

16.
{
  "formula": "SrNdAu4",
  "functional": "GGA-PBE",
  "state": "optimized geometry",
  "delta_e_f_ev_per_atom": -0.52,
  "lattice": [[-4.9483, 2.3691, 1.8910], [-3.8370, -3.2337, 2.9148], [-0.8130, 0.8763, 5.6786]],
  "species": ["Au", "Au", "Au", "Au", "Sr", "Nd"],
  "fractional_positions": [[0.6252, 0.6252, 0.1243], [0.1243, 0.6252, 0.6252], [0.6252, 0.1243, 0.6252], [0.6252, 0.6252, 0.6252], [0.0000, 0.0000, 0.0000], [0.2500, 0.2500, 0.2500]]
}

=====

17.
{
  "formula": "Ba2ZnInCu",
  "functional": "GGA-PBE",
  "state": "optimized geometry",
  "delta_e_f_ev_per_atom": -0.08,
  "lattice": [[-1.1591, -3.4755, 4.9795], [5.4666, 1.6102, 2.3963], [-1.9990, 3.6685, 2.0951]],
  "species": ["In", "Ba", "Ba", "Cu", "Zn"],
  "fractional_positions": [[0.5000, 0.5000, 0.5000], [0.0000, 0.5000, 0.0000], [0.5000, 0.0000, 0.0000], [0.0000, 0.0000, 0.0000], [0.0000, 0.0000, 0.5000]]
}

=====

18.
{
  "formula": "Ac3Re2N7",
  "functional": "GGA-PBE",
  "state": "optimized geometry",
  "lattice": [[-0.1451, 0.0076, -4.0049], [0.0906, -4.0065, -0.0109], [-10.6104, 1.7580, 2.3929]],
  "species": ["N", "N", "N", "N", "N", "N", "N", "Re", "Re", "Ac", "Ac", "Ac"],
  "fractional_positions": [[0.8068, 0.8068, 0.6135], [0.0000, 0.0000, 0.0000], [0.9047, 0.4047, 0.8095], [0.0953, 0.5953, 0.1905], [0.5953, 0.0953, 0.1905], [0.4047, 0.9047, 0.8095], [0.1932, 0.1932, 0.3865], [0.0948, 0.0948, 0.1896], [0.9052, 0.9052, 0.8104], [0.3159, 0.3159, 0.6318], [0.6841, 0.6841, 0.3682], [0.5000, 0.5000, 0.0000]]
}

=====

19.
{
  "formula": "RbLaSeN2",
  "functional": "GGA-PBE",
  "state": "optimized geometry",
  "lattice": [[4.4915, 0.0000, 0.0000], [0.0000, 5.2085, 0.0000], [0.0000, 0.0000, 4.4915]],
  "species": ["N", "N", "Se", "Rb", "La"],
  "fractional_positions": [[0.0000, 0.0000, 0.5000], [0.5000, 0.0000, 0.0000], [0.0000, 0.0000, 0.0000], [0.0000, 0.5000, 0.0000], [0.5000, 0.5000, 0.5000]]
}

=====

20.
{
  "formula": "AcH2Se2O7",
  "functional": "GGA-PBE",
  "state": "optimized geometry",
  "lattice": [[5.4443, 0.0000, 0.0000], [2.7221, 4.7149, 0.0000], [2.7221, 1.5716, 7.9543]],
  "species": ["O", "O", "O", "O", "O", "O", "O", "H", "H", "Se", "Se", "Ac"],
  "fractional_positions": [[0.4509, 0.0225, 0.8077], [0.0225, 0.7189, 0.8077], [0.7189, 0.4509, 0.8077], [0.2811, 0.9775, 0.1923], [0.9775, 0.5491, 0.1923], [0.5000, 0.5000, 0.5000], [0.5491, 0.2811, 0.1923], [0.4598, 0.4598, 0.6206], [0.5402, 0.5402, 0.3794], [0.7607, 0.7607, 0.7179], [0.2393, 0.2393, 0.2821], [0.0000, 0.0000, 0.0000]]
}

=====

21.
{
  "formula": "YLuZnCu",
  "functional": "GGA-PBE",
  "state": "optimized geometry",
  "delta_e_f_ev_per_atom": -0.30,
  "lattice": [[4.9313, 0.0000, 0.0000], [2.4656, 4.2706, 0.0000], [2.4656, 1.4235, 4.0264]],
  "species": ["Cu", "Zn", "Y", "Lu"],
  "fractional_positions": [[0.0000, 0.0000, 0.0000], [0.5000, 0.5000, 0.5000], [0.7500, 0.7500, 0.7500], [0.2500, 0.2500, 0.2500]]
}

=====

22.
{
  "formula": "NbFeRe",
  "functional": "GGA-PBE",
  "state": "optimized geometry",
  "delta_e_f_ev_per_atom": 0.13,
  "lattice": [[3.9635, 0.0000, 0.0000], [0.0000, 7.1762, 0.0000], [0.0000, 0.0000, 6.4432]],
  "species": ["Fe", "Fe", "Fe", "Fe", "Re", "Re", "Re", "Re", "Nb", "Nb", "Nb", "Nb"],
  "fractional_positions": [[0.7500, 0.4400, 0.8624], [0.7500, 0.0600, 0.3624], [0.2500, 0.9400, 0.6376], [0.2500, 0.5600, 0.1376], [0.2500, 0.8781, 0.2622], [0.2500, 0.6219, 0.7622], [0.7500, 0.1219, 0.7378], [0.7500, 0.3781, 0.2378], [0.7500, 0.6798, 0.4766], [0.2500, 0.1798, 0.0234], [0.2500, 0.3202, 0.5234], [0.7500, 0.8202, 0.9766]]
}

=====

23.
{
  "formula": "LiTiSb",
  "functional": "GGA-PBE",
  "state": "optimized geometry",
  "lattice": [[4.1622, 0.0000, 0.0000], [0.0000, 4.1622, 0.0000], [0.0000, 0.0000, 7.2113]],
  "species": ["Sb", "Sb", "Li", "Li", "Ti", "Ti"],
  "fractional_positions": [[0.0000, 0.5000, 0.2356], [0.5000, 0.0000, 0.7644], [0.5000, 0.0000, 0.1650], [0.0000, 0.5000, 0.8350], [0.5000, 0.5000, 0.5000], [0.0000, 0.0000, 0.5000]]
}

=====

24.
{
  "formula": "Sr2AgIr",
  "functional": "GGA-PBE",
  "state": "optimized geometry",
  "delta_e_f_ev_per_atom": -0.01,
  "lattice": [[-1.0142, -2.2368, -5.6986], [0.2042, -4.9758, -3.7021], [-4.7781, -2.1088, 0.0228]],
  "species": ["Ir", "Sr", "Sr", "Ag"],
  "fractional_positions": [[0.2281, 0.2281, 0.2315], [0.7633, 0.7633, 0.7176], [0.9629, 0.9629, 0.0659], [0.5456, 0.5456, 0.4850]]
}

=====

25.
{
  "formula": "PuGe2Pd6",
  "functional": "GGA-PBE",
  "state": "optimized geometry",
  "delta_e_f_ev_per_atom": -0.41,
  "lattice": [[0.5668, 4.0023, 1.4210], [1.9775, -0.2707, 6.4545], [6.6032, 1.0050, 1.0164]],
  "species": ["Pd", "Pd", "Pd", "Pd", "Pd", "Pd", "Ge", "Ge", "Pu"],
  "fractional_positions": [[0.1771, 0.5181, 0.1277], [0.5000, 0.2947, 0.7053], [0.8229, 0.4819, 0.8723], [0.8229, 0.8723, 0.4819], [0.1771, 0.1277, 0.5181], [0.5000, 0.7053, 0.2947], [0.3041, 0.6959, 0.6959], [0.6959, 0.3041, 0.3041], [0.0000, 0.0000, 0.0000]]
}

=====

Number 1: total DFT energy (no corrections) -0.18671 hartree per atom. Number 2: total DFT energy (no corrections) -0.21819 hartree per atom. Number 3: total DFT energy (no corrections) -0.23029 hartree per atom. Number 4: total DFT energy (no corrections) -0.30668 hartree per atom. Number 5: total DFT energy (no corrections) -0.21070 hartree per atom. Number 6: total DFT energy (no corrections) -0.21443 hartree per atom. Number 7: total DFT energy (no corrections) -0.09630 hartree per atom. Number 8: total DFT energy (no corrections) -0.21148 hartree per atom. Number 9: total DFT energy (no corrections) -0.08157 hartree per atom. Number 10: total DFT energy (no corrections) -0.15361 hartree per atom. Number 11: total DFT energy (no corrections) -0.16847 hartree per atom. Number 12: total DFT energy (no corrections) -0.12849 hartree per atom. Number 13: total DFT energy (no corrections) -0.22593 hartree per atom. Number 14: total DFT energy (no corrections) -0.19760 hartree per atom. Number 15: total DFT energy (no corrections) -0.08980 hartree per atom. Number 16: total DFT energy (no corrections) -0.13882 hartree per atom. Number 17: total DFT energy (no corrections) -0.09098 hartree per atom. Number 18: total DFT energy (no corrections) -0.32219 hartree per atom. Number 19: total DFT energy (no corrections) -0.13442 hartree per atom. Number 20: total DFT energy (no corrections) -0.20654 hartree per atom. Number 21: total DFT energy (no corrections) -0.16133 hartree per atom. Number 22: total DFT energy (no corrections) -0.37457 hartree per atom. Number 23: total DFT energy (no corrections) -0.18720 hartree per atom. Number 24: total DFT energy (no corrections) -0.13884 hartree per atom. Number 25: total DFT energy (no corrections) -0.23866 hartree per atom.